VASP calculation (PBE) on a geometry-optimized AlRe structure.

Computed properties:
Space-group type   Pnma (62)
Energy of formation from the pure elements   -158 meV per atom
E_tot   -8.25 eV per atom

Cell: 9.3459 4.5396 5.5356 Å, 90.00 90.00 90.00°
Positions (direct):
Al  0.0823  0.2500  0.0039
Al  0.1636  0.7500  0.2595
Al  0.3364  0.2500  0.7595
Al  0.4177  0.7500  0.5039
Al  0.5823  0.2500  0.4961
Al  0.6636  0.7500  0.2405
Al  0.8364  0.2500  0.7405
Al  0.9177  0.7500  0.9961
Re  0.0977  0.2500  0.5058
Re  0.1663  0.7500  0.7660
Re  0.3337  0.2500  0.2660
Re  0.4023  0.7500  0.0058
Re  0.5977  0.2500  0.9942
Re  0.6663  0.7500  0.7340
Re  0.8337  0.2500  0.2340
Re  0.9023  0.7500  0.4942